La2Sn4Ir3Pd: optimized geometry, PBE.

uncorrected energy	-0.2359	Ha/atom
density of states at the Fermi level	8.5	states/eV/f.u.
E_form	-6.6	eV/f.u.
SG	P-4m2, No. 115

Structure (CIF):
```
data_La2Sn4Ir3Pd
_cell_length_a 4.575
_cell_length_b 4.575
_cell_length_c 10.788
_cell_angle_alpha 90.00
_cell_angle_beta 90.00
_cell_angle_gamma 90.00
_symmetry_space_group_name_H-M 'P 1'
_symmetry_Int_Tables_number 1
loop_
_symmetry_equiv_pos_as_xyz
'x,y,z'
loop_
_atom_site_label
_atom_site_fract_x
_atom_site_fract_y
_atom_site_fract_z
La1 0.500 0.000 0.247
La2 0.000 0.500 0.753
Sn1 0.500 0.500 0.000
Sn2 0.000 0.000 0.000
Sn3 0.500 0.000 0.628
Sn4 0.000 0.500 0.372
Ir1 0.000 0.000 0.500
Ir2 0.500 0.000 0.869
Ir3 0.000 0.500 0.131
Pd1 0.500 0.500 0.500
```